No. 1
Compound: KTlSCl2
Source: Alexandria
Functional: PBE-GGA
Structure: optimized geometry

```
data_KTlSCl2
_chemical_formula_sum 'K1 Tl1 S1 Cl2'
_space_group_name_H-M_alt 'P 4/m m m'
_space_group_IT_number 123
_space_group_name_Hall '-P 4 2'
_cell_length_a 5.537
_cell_length_b 5.537
_cell_length_c 5.073
_cell_angle_alpha 90.00
_cell_angle_beta 90.00
_cell_angle_gamma 90.00
loop_
_atom_site_label
_atom_site_type_symbol
_atom_site_fract_x
_atom_site_fract_y
_atom_site_fract_z
K1 K 0.000 0.000 0.000
Tl1 Tl 0.500 0.500 0.500
S1 S 0.500 0.500 0.000
Cl1 Cl 0.000 0.500 0.500
```

Values from the calculation:
Raw formation energy, eV per atom: -0.803
Energy above the most stable polymorph in this dataset, eV/atom: 0.0000

---

No. 2
Compound: LaScGa4
Source: Alexandria
Functional: PBE-GGA
Structure: optimized geometry

```
data_LaScGa4
_chemical_formula_sum 'La1 Sc1 Ga4'
_space_group_name_H-M_alt 'P 6/m m m'
_space_group_IT_number 191
_space_group_name_Hall '-P 6 2'
_cell_length_a 4.4491
_cell_length_b 4.4491
_cell_length_c 7.1814
_cell_angle_alpha 90.00
_cell_angle_beta 90.00
_cell_angle_gamma 120.00
loop_
_atom_site_label
_atom_site_type_symbol
_atom_site_fract_x
_atom_site_fract_y
_atom_site_fract_z
La1 La 0.0000 0.0000 0.0000
Sc1 Sc 0.0000 0.0000 0.5000
Ga1 Ga 0.3333 0.6667 0.2861
```

Values from the calculation:
Energy above the most stable polymorph in this dataset, eV/atom: 0.0000
Calculated formation energy, kJ/mol of formula units: -353

---

No. 3
Compound: ErPaGaRh
Source: Alexandria
Functional: PBE-GGA
Structure: optimized geometry

```
data_ErPaGaRh
_chemical_formula_sum 'Er4 Pa4 Ga4 Rh4'
_space_group_name_H-M_alt 'F -4 3 m'
_space_group_IT_number 216
_space_group_name_Hall 'F -4 2 3'
_cell_length_a 6.994
_cell_length_b 6.994
_cell_length_c 6.994
_cell_angle_alpha 90.00
_cell_angle_beta 90.00
_cell_angle_gamma 90.00
loop_
_atom_site_label
_atom_site_type_symbol
_atom_site_fract_x
_atom_site_fract_y
_atom_site_fract_z
Er1 Er 0.000 0.000 0.000
Pa1 Pa 0.000 0.000 0.500
Ga1 Ga 0.250 0.250 0.250
Rh1 Rh 0.250 0.250 0.750
```

Values from the calculation:
Calculated formation energy, kJ/mol of formula units: -171

---

No. 4
Compound: Li3BeSb
Source: Alexandria
Functional: PBE-GGA
Structure: optimized geometry

```
data_Li3BeSb
_chemical_formula_sum 'Li3 Be1 Sb1'
_space_group_name_H-M_alt 'P m -3 m'
_space_group_IT_number 221
_space_group_name_Hall '-P 4 2 3'
_cell_length_a 4.510
_cell_length_b 4.510
_cell_length_c 4.510
_cell_angle_alpha 90.00
_cell_angle_beta 90.00
_cell_angle_gamma 90.00
loop_
_atom_site_label
_atom_site_type_symbol
_atom_site_fract_x
_atom_site_fract_y
_atom_site_fract_z
Li1 Li 0.000 0.000 0.500
Be1 Be 0.000 0.000 0.000
Sb1 Sb 0.500 0.500 0.500
```

Values from the calculation:
Raw formation energy, eV per atom: 0.251
Energy above the most stable polymorph in this dataset, eV/atom: 0.0000

---

No. 5
Compound: TlCuTe2Pd
Source: Alexandria
Functional: PBE-GGA
Structure: optimized geometry

```
data_TlCuTe2Pd
_chemical_formula_sum 'Tl1 Cu1 Te2 Pd1'
_space_group_name_H-M_alt 'P 4/m m m'
_space_group_IT_number 123
_space_group_name_Hall '-P 4 2'
_cell_length_a 5.738
_cell_length_b 5.738
_cell_length_c 4.847
_cell_angle_alpha 90.00
_cell_angle_beta 90.00
_cell_angle_gamma 90.00
loop_
_atom_site_label
_atom_site_type_symbol
_atom_site_fract_x
_atom_site_fract_y
_atom_site_fract_z
Tl1 Tl 0.000 0.000 0.000
Cu1 Cu 0.000 0.000 0.500
Te1 Te 0.000 0.500 0.000
Pd1 Pd 0.500 0.500 0.500
```

Values from the calculation:
Raw formation energy, eV per atom: 0.991
Energy above the most stable polymorph in this dataset, eV/atom: 1.1134

---

No. 6
Compound: YMnRe2
Source: Alexandria
Functional: PBE-GGA
Structure: optimized geometry

```
data_YMnRe2
_chemical_formula_sum 'Y3 Mn3 Re6'
_space_group_name_H-M_alt 'R 3 m'
_space_group_IT_number 160
_space_group_name_Hall 'R 3 -2"'
_cell_length_a 2.8969
_cell_length_b 2.8969
_cell_length_c 28.6377
_cell_angle_alpha 90.00
_cell_angle_beta 90.00
_cell_angle_gamma 120.00
loop_
_atom_site_label
_atom_site_type_symbol
_atom_site_fract_x
_atom_site_fract_y
_atom_site_fract_z
Y1 Y 0.0000 0.0000 0.0000
Mn1 Mn 0.0000 0.0000 0.2410
Re1 Re 0.0000 0.0000 0.4992
Re2 Re 0.0000 0.0000 0.7601
```

Values from the calculation:
Energy above the most stable polymorph in this dataset, eV/atom: 0.3115
Calculated formation energy, kJ/mol of formula units: 194

---

No. 7
Compound: Ac2Zn3Cd2
Source: Alexandria
Functional: PBE-GGA
Structure: optimized geometry

```
data_Ac2Zn3Cd2
_chemical_formula_sum 'Ac8 Zn12 Cd8'
_space_group_name_H-M_alt 'C m c m'
_space_group_IT_number 63
_space_group_name_Hall '-C 2c 2'
_cell_length_a 4.599
_cell_length_b 20.062
_cell_length_c 7.844
_cell_angle_alpha 90.00
_cell_angle_beta 90.00
_cell_angle_gamma 90.00
loop_
_atom_site_label
_atom_site_type_symbol
_atom_site_fract_x
_atom_site_fract_y
_atom_site_fract_z
Ac1 Ac 0.000 0.061 0.250
Ac2 Ac 0.000 0.151 0.750
Zn1 Zn 0.000 0.229 0.250
Zn2 Zn 0.000 0.447 0.082
Cd1 Cd 0.000 0.313 0.558
```

Values from the calculation:
Calculated formation energy, kJ/mol of formula units: -179

---

No. 8
Compound: BaGa2Ag2
Source: Alexandria
Functional: PBE-GGA
Structure: optimized geometry

```
data_BaGa2Ag2
_chemical_formula_sum 'Ba2 Ga4 Ag4'
_space_group_name_H-M_alt 'P 4/m b m'
_space_group_IT_number 127
_space_group_name_Hall '-P 4 2ab'
_cell_length_a 8.503
_cell_length_b 8.503
_cell_length_c 3.175
_cell_angle_alpha 90.00
_cell_angle_beta 90.00
_cell_angle_gamma 90.00
loop_
_atom_site_label
_atom_site_type_symbol
_atom_site_fract_x
_atom_site_fract_y
_atom_site_fract_z
Ba1 Ba 0.000 0.000 0.000
Ga1 Ga 0.160 0.340 0.500
Ag1 Ag 0.124 0.624 0.000
```

Values from the calculation:
Calculated formation energy, kJ/mol of formula units: -16

---

No. 9
Compound: Ca2AlNi3As4
Source: Alexandria
Functional: PBE-GGA
Structure: optimized geometry

```
data_Ca2AlNi3As4
_chemical_formula_sum 'Ca2 Al1 Ni3 As4'
_space_group_name_H-M_alt 'P -4 m 2'
_space_group_IT_number 115
_space_group_name_Hall 'P -4 -2'
_cell_length_a 4.100
_cell_length_b 4.100
_cell_length_c 10.297
_cell_angle_alpha 90.00
_cell_angle_beta 90.00
_cell_angle_gamma 90.00
loop_
_atom_site_label
_atom_site_type_symbol
_atom_site_fract_x
_atom_site_fract_y
_atom_site_fract_z
Ca1 Ca 0.000 0.500 0.238
Al1 Al 0.000 0.000 0.500
Ni1 Ni 0.000 0.500 0.877
Ni2 Ni 0.500 0.500 0.500
As1 As 0.000 0.000 0.000
As2 As 0.000 0.500 0.647
As3 As 0.500 0.500 0.000
```

Values from the calculation:
Calculated formation energy, kJ/mol of formula units: -612

---

No. 10
Compound: Sr4Cu3Rh
Source: Alexandria
Functional: PBE-GGA
Structure: optimized geometry

```
data_Sr4Cu3Rh
_chemical_formula_sum 'Sr4 Cu3 Rh1'
_space_group_name_H-M_alt 'P m m 2'
_space_group_IT_number 25
_space_group_name_Hall 'P 2 -2'
_cell_length_a 4.375
_cell_length_b 4.466
_cell_length_c 11.437
_cell_angle_alpha 90.00
_cell_angle_beta 90.00
_cell_angle_gamma 90.00
loop_
_atom_site_label
_atom_site_type_symbol
_atom_site_fract_x
_atom_site_fract_y
_atom_site_fract_z
Sr1 Sr 0.000 0.000 0.000
Sr2 Sr 0.000 0.500 0.479
Sr3 Sr 0.500 0.000 0.708
Sr4 Sr 0.500 0.500 0.211
Cu1 Cu 0.000 0.500 0.799
Cu2 Cu 0.500 0.000 0.405
Cu3 Cu 0.500 0.500 0.905
Rh1 Rh 0.000 0.000 0.291
```

Values from the calculation:
Calculated formation energy, kJ/mol of formula units: -111

---

No. 11
Compound: ScInMo2
Source: Alexandria
Functional: PBE-GGA
Structure: optimized geometry

```
data_ScInMo2
_chemical_formula_sum 'Sc2 In2 Mo4'
_space_group_name_H-M_alt 'C m m 2'
_space_group_IT_number 35
_space_group_name_Hall 'C 2 -2'
_cell_length_a 3.320
_cell_length_b 4.881
_cell_length_c 9.284
_cell_angle_alpha 90.00
_cell_angle_beta 90.00
_cell_angle_gamma 90.00
loop_
_atom_site_label
_atom_site_type_symbol
_atom_site_fract_x
_atom_site_fract_y
_atom_site_fract_z
Sc1 Sc 0.000 0.000 0.000
In1 In 0.000 0.500 0.716
Mo1 Mo 0.000 0.000 0.456
Mo2 Mo 0.000 0.500 0.243
```

Values from the calculation:
Calculated formation energy, kJ/mol of formula units: 41

---

No. 12
Compound: AcCeDy2As4
Source: Alexandria
Functional: PBE-GGA
Structure: optimized geometry

```
data_AcCeDy2As4
_chemical_formula_sum 'Ac1 Ce1 Dy2 As4'
_space_group_name_H-M_alt 'P 1 2/m 1'
_space_group_IT_number 10
_space_group_name_Hall '-P 2y'
_cell_length_a 7.365
_cell_length_b 4.259
_cell_length_c 7.384
_cell_angle_alpha 90.00
_cell_angle_beta 109.41
_cell_angle_gamma 90.00
loop_
_atom_site_label
_atom_site_type_symbol
_atom_site_fract_x
_atom_site_fract_y
_atom_site_fract_z
Ac1 Ac 0.000 0.000 0.000
Ce1 Ce 0.000 0.500 0.500
Dy1 Dy 0.500 0.000 0.500
Dy2 Dy 0.500 0.500 0.000
As1 As 0.261 0.000 0.745
As2 As 0.267 0.500 0.265
```

Values from the calculation:
Calculated formation energy, kJ/mol of formula units: -1128